(1)
KCaNiF2: relaxed, PBE with a Hubbard U.

## Properties
Space-group type ... No. 123
Energy ... -3.542 eV per atom

Unit cell a=4.4001 b=4.4001 c=8.7883 alpha=90.00 beta=90.00 gamma=90.00
Last column: nearest neighbours and their distance in Å.
Positions (direct):
1 K 0.0000 0.0000 0.0000  4 Ni 3.11
2 Ca 0.0000 0.0000 0.5000  4 F 2.20
3 Ni 0.5000 0.5000 0.0000  4 K 3.11
4 F 0.0000 0.5000 0.5000  2 Ca 2.20
5 F 0.5000 0.0000 0.5000  2 Ca 2.20

=====

(2)
K3CaNi2F9: relaxed, PBE with a Hubbard U.

## Properties
Space-group type ... No. 164
Energy ... -4.623 eV per atom

Unit cell a=5.9160 b=5.9160 c=7.3100 alpha=90.00 beta=90.00 gamma=120.00
Last column: nearest neighbours and their distance in Å.
Positions (direct):
1 K 0.0000 0.0000 0.0000  12 F 2.94-2.96
2 K 0.3333 0.6667 0.6823  12 F 2.88-3.12
3 K 0.6667 0.3333 0.3177  12 F 2.88-3.12
4 Ca 0.0000 0.0000 0.5000  6 F 2.22
5 Ni 0.3333 0.6667 0.1586  6 F 2.01-2.06
6 Ni 0.6667 0.3333 0.8414  6 F 2.01-2.06
7 F 0.0000 0.5000 0.0000  2 Ni 2.06
8 F 0.1742 0.3484 0.3191  1 Ni 2.01, 1 Ca 2.22
9 F 0.1742 0.8258 0.3191  1 Ni 2.01, 1 Ca 2.22
10 F 0.3484 0.1742 0.6809  1 Ni 2.01, 1 Ca 2.22
11 F 0.5000 0.0000 0.0000  2 Ni 2.06
12 F 0.5000 0.5000 0.0000  2 Ni 2.06
13 F 0.6516 0.8258 0.3191  1 Ni 2.01, 1 Ca 2.22
14 F 0.8258 0.1742 0.6809  1 Ni 2.01, 1 Ca 2.22
15 F 0.8258 0.6516 0.6809  1 Ni 2.01, 1 Ca 2.22

=====

| no. | DOS(E_F) (states/eV per cell) | total moment (μB/cell) |
| --- | --- | --- |
| 1 | 0.000 | 1.00 |
| 2 | 0.000 | 4.00 |